Entry 1:
Here is a PBEsol-optimized structure of CrFe2Ni from the Alexandria database. Energies are from meta-GGA SCAN.

Computed properties:
energy of formation = -0.071 eV per atom

a = 3.5039 Å, b = 3.5039 Å, c = 6.9766 Å
α = 90.00°, β = 90.00°, γ = 90.00°
Space group I4/mmm (No. 139)
Inequivalent atoms, fractional coordinates:
Cr (0.0000, 0.0000, 0.0000) (multiplicity 2)
Fe (0.0000, 0.5000, 0.2500) (multiplicity 4)
Ni (0.0000, 0.0000, 0.5000) (multiplicity 2)

***

Entry 2:
Here is a PBEsol-optimized structure of CrFe2Ni from the Alexandria database. Energies are from meta-GGA SCAN.

Computed properties:
energy of formation = 0.026 eV per atom

a = 2.4604 Å, b = 3.4876 Å, c = 4.9487 Å
α = 90.00°, β = 90.00°, γ = 90.00°
Space group Pmmm (No. 47)
Inequivalent atoms, fractional coordinates:
Cr (0.0000, 0.0000, 0.0000) (multiplicity 1)
Fe (0.5000, 0.5000, 0.2509) (multiplicity 2)
Ni (0.0000, 0.0000, 0.5000) (multiplicity 1)

***

Which formula does entry 2 have?
CrFe2Ni

***

energy of formation of number 1 (CrFe2Ni)?
-0.071 eV per atom

***

Please write out number 1 again, unchanged.
Here is a PBEsol-optimized structure of CrFe2Ni from the Alexandria database. Energies are from meta-GGA SCAN.

Computed properties:
energy of formation = -0.071 eV per atom

a = 3.5039 Å, b = 3.5039 Å, c = 6.9766 Å
α = 90.00°, β = 90.00°, γ = 90.00°
Space group I4/mmm (No. 139)
Inequivalent atoms, fractional coordinates:
Cr (0.0000, 0.0000, 0.0000) (multiplicity 2)
Fe (0.0000, 0.5000, 0.2500) (multiplicity 4)
Ni (0.0000, 0.0000, 0.5000) (multiplicity 2)